Record 1
Density functional theory data (PBE-GGA) for a relaxed structure of YThCo2.

Lattice parameters (Å, degrees): 3.4244 3.4244 6.7894 90.00 90.00 90.00
Atoms (fractional coordinates):
Y 0.5000 0.5000 0.5000
Co 0.0000 0.0000 0.7733
Co 0.0000 0.0000 0.2267
Th 0.5000 0.5000 0.0000

Values from the calculation:
**Symmetry**: P4/mmm
**Crystal system**: tetragonal
**VASP energy**: -28.69 eV per cell
**Density of states at the Fermi level**: 3.59 states/eV/cell

---

Record 2
Density functional theory data (PBE-GGA) for a relaxed structure of YThCo.

Lattice parameters (Å, degrees): 7.2191 6.7789 7.0475 64.91 90.00 90.00
Atoms (fractional coordinates):
Y 0.1693 0.7143 0.9424
Y 0.3307 0.7143 0.4424
Y 0.8307 0.2857 0.0576
Y 0.6693 0.2857 0.5576
Th 0.6684 0.7706 0.0294
Th 0.3316 0.2294 0.9706
Th 0.1684 0.2294 0.4706
Th 0.8316 0.7706 0.5294
Co 0.5632 0.5517 0.7958
Co 0.4368 0.4483 0.2042
Co 0.9368 0.5517 0.2958
Co 0.0632 0.4483 0.7042

Values from the calculation:
**Symmetry**: P2_1/c
**Crystal system**: monoclinic
**VASP energy**: -85.02 eV per cell
**Density of states at the Fermi level**: 10.75 states/eV/cell

---

Record 3
Density functional theory data (PBE-GGA) for a relaxed structure of YThCo.

Lattice parameters (Å, degrees): 3.4829 3.4829 6.4417 105.68 105.68 90.00
Site moments in Bohr magnetons follow the coordinates.
Atoms (fractional coordinates):
Y 0.0224 0.0224 0.0448  0.10
Co 0.6805 0.6805 0.3610  0.25
Th 0.2971 0.2971 0.5942  0.06

Values from the calculation:
**Symmetry**: I4mm
**Crystal system**: tetragonal
**VASP energy**: -21.16 eV per cell
**Density of states at the Fermi level**: 4.78 states/eV/cell

---

Record 4
Density functional theory data (PBE-GGA) for a relaxed structure of YThCo.

Lattice parameters (Å, degrees): 4.1246 5.8531 6.7918 109.97 90.00 90.00
Atoms (fractional coordinates):
Y 0.7522 0.5525 0.3011
Y 0.2522 0.4552 0.7021
Th 0.7522 0.0114 0.7984
Th 0.2522 0.9963 0.2049
Co 0.7522 0.1398 0.4554
Co 0.2522 0.8679 0.5478

Values from the calculation:
**Symmetry**: P2_1/m
**Crystal system**: monoclinic
**VASP energy**: -43.07 eV per cell
**Density of states at the Fermi level**: 4.64 states/eV/cell

---

Record 5
Density functional theory data (PBE-GGA) for a relaxed structure of Y2ThCo9.

Lattice parameters (Å, degrees): 4.9895 4.9895 8.6995 73.34 73.34 60.00
Site moments in Bohr magnetons follow the coordinates.
Atoms (fractional coordinates):
Y 0.8595 0.8595 0.4214  -0.27
Y 0.1405 0.1405 0.5786  -0.27
Th 0.0000 0.0000 0.0000  -0.29
Co 0.6655 0.6655 0.0034  1.21
Co 0.3345 0.3345 0.9966  1.21
Co 0.5000 0.5000 0.5000  1.18
Co 0.4171 0.4171 0.2456  1.25
Co 0.9203 0.4171 0.2456  1.25
Co 0.4171 0.9203 0.2456  1.25
Co 0.5829 0.5829 0.7544  1.25
Co 0.5829 0.0797 0.7544  1.25
Co 0.0797 0.5829 0.7544  1.25

Values from the calculation:
**Symmetry**: R-3m
**Crystal system**: trigonal
**VASP energy**: -86.41 eV per cell
**Density of states at the Fermi level**: 16.65 states/eV/cell

---

Record 6
Density functional theory data (PBE-GGA) for a relaxed structure of YThCo2.

Lattice parameters (Å, degrees): 3.7858 3.9463 5.7156 90.00 109.29 90.00
Atoms (fractional coordinates):
Y 0.7244 0.0000 0.9879
Th 0.4485 0.5000 0.4359
Co 0.1548 0.5000 0.8486
Co 0.0033 0.0000 0.5457

Values from the calculation:
**Symmetry**: Amm2
**Crystal system**: orthorhombic
**VASP energy**: -29.10 eV per cell
**Density of states at the Fermi level**: 3.04 states/eV/cell